1.
Computed, not measured: a relaxed structure of Ca2Pm2Tm at the PBE level of DFT.

Output
Volume ... 179.4 Å³ per cell
Energy of formation from the pure elements ... 0.04 eV per atom
Calculated total energy ... -17.76 eV/f.u.
Symmetry ... P-3m1 (164)
M_tot ... 0.00 μB/f.u.
Energy above the lowest structure with this stoichiometry ... 0.0000 eV per atom

abc: 3.667 3.667 15.406
angles: 90.00 90.00 120.00
Fractional positions:
Ca 0.333 0.667 0.108
Ca 0.667 0.333 0.892
Pm 0.333 0.667 0.683
Pm 0.667 0.333 0.317
Tm 0.000 0.000 0.500

2.
Computed, not measured: a relaxed structure of Ga2SnIrW at the PBE level of DFT.

Output
Volume ... 117.8 Å³ per cell
Energy of formation from the pure elements ... 0.77 eV per atom
Calculated total energy ... -28.03 eV/f.u.
Symmetry ... P4/mmm (123)
M_tot ... 0.00 μB/f.u.

abc: 4.947 4.947 4.816
angles: 90.00 90.00 90.00
Fractional positions:
Ga 0.000 0.500 0.000
Ga 0.500 0.000 0.000
Sn 0.000 0.000 0.500
Ir 0.500 0.500 0.500
W 0.500 0.500 0.000